Here is a relaxed structure of Y2TeRu from the Alexandria database. Energies are from GGA-PBE.

The structure belongs to space group Immm (No. 71); the cell edges are 4.332, 5.276 and 8.256 Å and the angles 90.00°, 90.00° and 90.00°. Symmetry generates all atoms from Y at (0.000, 0.000, 0.223), Te at (0.000, 0.500, 0.000) and Ru at (0.000, 0.500, 0.500).

The total magnetization is 0.000 μB per atom. The energy relative to the elements, uncorrected comes out at -0.451 eV per atom.

***

Here is a relaxed structure of Y2TeRu from the Alexandria database. Energies are from GGA-PBE.

The structure belongs to space group I-42d (No. 122); the cell edges are 7.819, 7.819 and 6.732 Å and the angles 90.00°, 90.00° and 90.00°. Symmetry generates all atoms from Y at (0.203, 0.250, 0.125), Te at (0.000, 0.000, 0.500) and Ru at (0.000, 0.000, 0.000).

The total magnetization is 0.000 μB per atom. The energy relative to the elements, uncorrected comes out at -0.314 eV per atom.